This record from the Alexandria database describes MgNbAsSe2 after structural relaxation. The functional is PBE.

Its energy is -4.76 eV per atom. As for the relative energy among the computed polymorphs: 0 meV per atom. The formation energy without anion corrections comes out at -10 kJ per mole of atoms. For the density of states at the Fermi level, the calculation gives 0.539 states/eV/atom. Its symmetry is P4/mmm.

```
MgNbAsSe2
1.0
5.007 0.000 0.000
0.000 5.007 0.000
0.000 0.000 5.169
Mg Se As Nb
1 2 1 1
Direct
0.500 0.500 0.500
0.500 0.000 0.000
0.000 0.500 0.000
0.000 0.000 0.500
0.000 0.000 0.000
```


This record from the Alexandria database describes MnZnAg after structural relaxation. The functional is PBE.

Its energy is -4.25 eV per atom. As for the relative energy among the computed polymorphs: 140 meV per atom. For the density of states at the Fermi level, the calculation gives 0.583 states/eV/atom. The value obtained for the energy of formation from the pure elements is 0.18 eV per atom. Its symmetry is P3m1.

```
MnZnAg
1.0
4.458 0.000 0.000
-2.229 3.861 0.000
0.000 0.000 2.765
Zn Mn Ag
1 1 1
Direct
0.333 0.667 0.778
0.667 0.333 0.337
0.000 0.000 0.884
```